Below is crystalline Fe2HgOs at its relaxed geometry, with properties calculated at the PBE level.

Structure (POSCAR):
```
Fe2HgOs
1.0
-3.446 -0.645 3.003
-2.745 -3.159 1.947
2.621 -0.964 4.036
Hg Fe Os
1 2 1
Cartesian
-2.677 -3.576 6.740 Hg
-6.007 -3.827 5.127 Fe
-1.968 -2.361 4.318 Fe
-0.892 -1.192 2.247 Os
```

Output
As for the volume: 14.96 Å³/atom. As for the energy relative to the elements: 0.57 eV per atom. The total energy is -6.54 eV per atom.